# 1
A relaxed structure of SrLiDyS3. Source: Alexandria, functional PBE.

## Properties
- formation energy from raw total energies (kcal/mol of atoms) = -44.27
- crystal system = monoclinic

abc: 8.343 3.999 8.636
angles: 90.00 103.30 90.00
Element x y z (fractional)
Sr  0.187  0.250  0.234
Sr  0.813  0.750  0.766
Li  0.086  0.250  0.588
Li  0.914  0.750  0.412
Dy  0.332  0.750  0.833
Dy  0.668  0.250  0.167
S  0.114  0.250  0.867
S  0.209  0.750  0.513
S  0.439  0.750  0.164
S  0.561  0.250  0.836
S  0.791  0.250  0.487
S  0.886  0.750  0.133



# 2
A relaxed structure of PmAlCuPt3. Source: Alexandria, functional PBE.

## Properties
- DFT formation energy (eV per atom) = -0.624
- crystal system = orthorhombic

abc: 6.755 6.755 5.748
angles: 90.00 90.00 120.35
Element x y z (fractional)
Pm  0.210  0.790  0.750
Pm  0.790  0.210  0.250
Al  0.127  0.873  0.250
Al  0.873  0.127  0.750
Cu  0.447  0.553  0.750
Cu  0.553  0.447  0.250
Pt  0.209  0.209  0.000
Pt  0.209  0.209  0.500
Pt  0.330  0.670  0.250
Pt  0.670  0.330  0.750
Pt  0.791  0.791  0.000
Pt  0.791  0.791  0.500



# 3
A relaxed structure of Zr2Pd9Pt. Source: Alexandria, functional PBE.

## Properties
- DFT formation energy (eV per atom) = -0.563
- crystal system = tetragonal

abc: 4.011 4.011 12.039
angles: 90.00 90.00 90.00
Element x y z (fractional)
Zr  0.000  0.000  0.172
Zr  0.000  0.000  0.828
Pd  0.000  0.500  0.000
Pd  0.000  0.500  0.332
Pd  0.000  0.500  0.668
Pd  0.500  0.000  0.000
Pd  0.500  0.000  0.332
Pd  0.500  0.000  0.668
Pd  0.500  0.500  0.166
Pd  0.500  0.500  0.500
Pd  0.500  0.500  0.834
Pt  0.000  0.000  0.500



# 4
A relaxed structure of MnNb2Ir. Source: Alexandria, functional PBE.

## Properties
- DFT formation energy (eV per atom) = -0.178
- crystal system = tetragonal

abc: 4.247 4.247 3.478
angles: 90.00 90.00 90.00
Element x y z (fractional)
Mn  0.000  0.000  0.000
Nb  0.000  0.500  0.500
Nb  0.500  0.000  0.500
Ir  0.500  0.500  0.000



# 5
A relaxed structure of Pm2SmPd9. Source: Alexandria, functional PBE.

## Properties
- DFT formation energy (eV per atom) = -0.792
- crystal system = tetragonal

abc: 4.182 4.182 12.548
angles: 90.00 90.00 90.00
Element x y z (fractional)
Pm  0.000  0.000  0.167
Pm  0.000  0.000  0.833
Sm  0.000  0.000  0.500
Pd  0.000  0.500  0.000
Pd  0.000  0.500  0.334
Pd  0.000  0.500  0.666
Pd  0.500  0.000  0.000
Pd  0.500  0.000  0.334
Pd  0.500  0.000  0.666
Pd  0.500  0.500  0.167
Pd  0.500  0.500  0.500
Pd  0.500  0.500  0.833



# 6
A relaxed structure of BaZn11. Source: Alexandria, functional PBE.

## Properties
- DFT formation energy (eV per atom) = -0.162
- crystal system = tetragonal

abc: 8.437 8.437 8.437
angles: 100.02 100.02 130.70
Element x y z (fractional)
Ba  0.375  0.625  0.750
Ba  0.625  0.375  0.250
Zn  0.000  0.000  0.000
Zn  0.000  0.000  0.500
Zn  0.000  0.500  0.000
Zn  0.125  0.875  0.250
Zn  0.140  0.560  0.333
Zn  0.140  0.807  0.581
Zn  0.193  0.274  0.333
Zn  0.193  0.860  0.919
Zn  0.274  0.193  0.833
Zn  0.274  0.440  0.081
Zn  0.440  0.274  0.581
Zn  0.440  0.860  0.167
Zn  0.500  0.000  0.500
Zn  0.560  0.140  0.833
Zn  0.560  0.726  0.419
Zn  0.726  0.560  0.919
Zn  0.726  0.807  0.167
Zn  0.807  0.140  0.081
Zn  0.807  0.726  0.667
Zn  0.860  0.193  0.419
Zn  0.860  0.440  0.667
Zn  0.875  0.125  0.750



# 7
A relaxed structure of NaGe2BrF. Source: Alexandria, functional PBE.

## Properties
- formation energy from raw total energies (kcal/mol of atoms) = 3.87
- crystal system = tetragonal

abc: 5.257 5.257 5.885
angles: 90.00 90.00 90.00
Element x y z (fractional)
Na  0.000  0.000  0.000
Ge  0.000  0.500  0.500
Ge  0.500  0.000  0.500
Br  0.000  0.000  0.500
F  0.500  0.500  0.000



# 8
A relaxed structure of TiBeRh. Source: Alexandria, functional PBE.

## Properties
- DFT formation energy (eV per atom) = -0.477
- crystal system = trigonal

abc: 4.023 4.023 2.842
angles: 90.00 90.00 120.00
Element x y z (fractional)
Ti  0.000  0.000  0.000
Be  0.333  0.667  0.497
Rh  0.667  0.333  0.532



# 9
A relaxed structure of CaCoCl. Source: Alexandria, functional PBE.

## Properties
- formation energy from raw total energies (kcal/mol of atoms) = -3.30
- crystal system = tetragonal

abc: 4.465 4.465 6.186
angles: 90.00 90.00 90.00
Element x y z (fractional)
Ca  0.250  0.250  0.169
Ca  0.750  0.750  0.831
Co  0.250  0.250  0.681
Co  0.750  0.750  0.319
Cl  0.250  0.750  0.500
Cl  0.750  0.250  0.500



# 10
A relaxed structure of PaCd2Hg. Source: Alexandria, functional PBE.

## Properties
- DFT formation energy (eV per atom) = 0.261
- crystal system = trigonal

abc: 11.959 11.959 11.959
angles: 15.00 15.00 15.00
Element x y z (fractional)
Pa  0.000  0.000  0.000
Cd  0.091  0.091  0.091
Cd  0.909  0.909  0.909
Hg  0.500  0.500  0.500



# 11
A relaxed structure of Pm4In5Ni2. Source: Alexandria, functional PBE.

## Properties
- DFT formation energy (eV per atom) = -0.438
- crystal system = monoclinic

abc: 7.754 3.707 9.671
angles: 90.00 94.60 90.00
Element x y z (fractional)
Pm  0.173  0.000  0.349
Pm  0.220  0.000  0.941
Pm  0.780  0.000  0.059
Pm  0.827  0.000  0.651
In  0.176  0.500  0.652
In  0.449  0.500  0.177
In  0.500  0.500  0.500
In  0.551  0.500  0.823
In  0.824  0.500  0.348
Ni  0.069  0.500  0.130
Ni  0.931  0.500  0.870



# 12
A relaxed structure of Ta4Mo. Source: Alexandria, functional PBE.

## Properties
- DFT formation energy (eV per atom) = -0.094
- crystal system = tetragonal

abc: 5.468 5.468 5.468
angles: 95.07 95.07 145.42
Element x y z (fractional)
Ta  0.093  0.292  0.384
Ta  0.292  0.907  0.199
Ta  0.708  0.093  0.801
Ta  0.907  0.708  0.616
Mo  0.500  0.500  0.000



# 13
A relaxed structure of LiTmPd4. Source: Alexandria, functional PBE.

## Properties
- DFT formation energy (eV per atom) = -0.567
- crystal system = monoclinic

abc: 5.042 5.042 4.986
angles: 94.23 94.23 54.14
Element x y z (fractional)
Li  0.000  0.000  0.000
Tm  0.500  0.500  0.500
Pd  0.176  0.176  0.409
Pd  0.326  0.326  0.936
Pd  0.674  0.674  0.064
Pd  0.824  0.824  0.591



# 14
A relaxed structure of VBiSe. Source: Alexandria, functional PBE.

## Properties
- formation energy from raw total energies (kcal/mol of atoms) = -1.35
- crystal system = orthorhombic

abc: 8.821 4.621 6.538
angles: 90.00 90.00 90.00
Element x y z (fractional)
V  0.113  0.250  0.054
V  0.387  0.750  0.554
V  0.613  0.250  0.446
V  0.887  0.750  0.946
Bi  0.076  0.750  0.369
Bi  0.424  0.250  0.869
Bi  0.576  0.750  0.131
Bi  0.924  0.250  0.631
Se  0.169  0.750  0.890
Se  0.331  0.250  0.390
Se  0.669  0.750  0.610
Se  0.831  0.250  0.110



# 15
A relaxed structure of Mg3GaPt3. Source: Alexandria, functional PBE.

## Properties
- DFT formation energy (eV per atom) = -0.730
- crystal system = orthorhombic

abc: 6.464 6.464 5.847
angles: 90.00 90.00 91.86
Element x y z (fractional)
Mg  0.226  0.226  0.500
Mg  0.247  0.753  0.000
Mg  0.250  0.250  0.000
Mg  0.750  0.750  0.000
Mg  0.753  0.247  0.000
Mg  0.774  0.774  0.500
Ga  0.259  0.741  0.500
Ga  0.741  0.259  0.500
Pt  0.000  0.500  0.255
Pt  0.000  0.500  0.745
Pt  0.500  0.000  0.255
Pt  0.500  0.000  0.745
Pt  0.500  0.500  0.256
Pt  0.500  0.500  0.744



# 16
A relaxed structure of CaAl2Cl8. Source: Alexandria, functional PBE.

## Properties
- formation energy from raw total energies (kcal/mol of atoms) = -40.91
- crystal system = monoclinic

abc: 7.995 7.995 6.359
angles: 96.90 96.90 70.44
Element x y z (fractional)
Ca  0.000  0.000  0.000
Al  0.193  0.193  0.658
Al  0.807  0.807  0.342
Cl  0.076  0.707  0.234
Cl  0.175  0.175  0.311
Cl  0.293  0.924  0.766
Cl  0.352  0.352  0.779
Cl  0.648  0.648  0.221
Cl  0.707  0.076  0.234
Cl  0.825  0.825  0.689
Cl  0.924  0.293  0.766



# 17
A relaxed structure of Tb4DySc5. Source: Alexandria, functional PBE.

## Properties
- DFT formation energy (eV per atom) = 0.246
- crystal system = monoclinic

abc: 7.811 7.811 9.687
angles: 126.55 126.55 40.16
Element x y z (fractional)
Tb  0.246  0.246  0.132
Tb  0.253  0.253  0.626
Tb  0.747  0.747  0.374
Tb  0.754  0.754  0.868
Dy  0.500  0.500  0.500
Sc  0.000  0.000  0.000
Sc  0.053  0.053  0.713
Sc  0.446  0.446  0.097
Sc  0.554  0.554  0.903
Sc  0.947  0.947  0.287



# 18
A relaxed structure of CaGdNiIr. Source: Alexandria, functional PBE.

## Properties
- DFT formation energy (eV per atom) = -0.366
- crystal system = cubic

abc: 4.841 4.841 4.841
angles: 60.00 60.00 60.00
Element x y z (fractional)
Ca  0.000  0.000  0.000
Gd  0.500  0.500  0.500
Ni  0.250  0.250  0.250
Ir  0.750  0.750  0.750



# 19
A relaxed structure of TiSiO2F. Source: Alexandria, functional PBE.

## Properties
- formation energy from raw total energies (kcal/mol of atoms) = -40.16
- crystal system = tetragonal

abc: 3.904 3.904 4.008
angles: 90.00 90.00 90.00
Element x y z (fractional)
Ti  0.000  0.000  0.000
Si  0.500  0.500  0.500
O  0.000  0.500  0.000
O  0.500  0.000  0.000
F  0.000  0.000  0.500



# 20
A relaxed structure of Sm8AlPt2. Source: Alexandria, functional PBE.

## Properties
- DFT formation energy (eV per atom) = -0.414
- crystal system = monoclinic

abc: 8.140 8.140 5.564
angles: 98.34 98.34 114.27
Element x y z (fractional)
Sm  0.078  0.325  0.571
Sm  0.242  0.758  0.000
Sm  0.325  0.078  0.571
Sm  0.385  0.385  0.188
Sm  0.615  0.615  0.812
Sm  0.675  0.922  0.429
Sm  0.758  0.242  0.000
Sm  0.922  0.675  0.429
Al  0.000  0.000  0.000
Pt  0.305  0.695  0.500
Pt  0.695  0.305  0.500



# 21
A relaxed structure of Li2InOs. Source: Alexandria, functional PBE.

## Properties
- DFT formation energy (eV per atom) = 0.249
- crystal system = tetragonal

abc: 2.721 2.721 8.881
angles: 90.00 90.00 90.00
Element x y z (fractional)
Li  0.000  0.000  0.225
Li  0.000  0.000  0.775
In  0.500  0.500  0.500
Os  0.500  0.500  0.000



# 22
A relaxed structure of TaHgPb. Source: Alexandria, functional PBE.

## Properties
- DFT formation energy (eV per atom) = 1.217
- crystal system = cubic

abc: 4.840 4.840 4.840
angles: 60.00 60.00 60.00
Element x y z (fractional)
Ta  0.000  0.000  0.000
Hg  0.750  0.750  0.750
Pb  0.500  0.500  0.500



# 23
A relaxed structure of H3SF. Source: Alexandria, functional PBE.

## Properties
- crystal system = cubic
- calculated total energy (eV/cell) = -16.33

abc: 3.282 3.282 3.282
angles: 90.00 90.00 90.00
Element x y z (fractional)
H  0.000  0.000  0.500
H  0.000  0.500  0.000
H  0.500  0.000  0.000
S  0.000  0.000  0.000
F  0.500  0.500  0.500



| no. | volume (Å³ per cell) |
| --- | --- |
| 1 | 280.4 |
| 2 | 226.4 |
| 3 | 193.7 |
| 4 | 62.7 |
| 5 | 219.5 |
| 6 | 413.8 |
| 7 | 162.6 |
| 8 | 39.8 |
| 9 | 123.3 |
| 10 | 99.8 |
| 11 | 277.1 |
| 12 | 88.6 |
| 13 | 102.4 |
| 14 | 266.5 |
| 15 | 244.2 |
| 16 | 378.8 |
| 17 | 294.7 |
| 18 | 80.2 |
| 19 | 61.1 |
| 20 | 323.9 |
| 21 | 65.7 |
| 22 | 80.2 |
| 23 | 35.3 |